No. 1
VASP calculation (GGA-PBE) on a relaxed La3Tb6Dy2Pu crystal.

Unit cell a=6.2260 b=6.2260 c=11.8377 alpha=95.04 beta=95.04 gamma=120.05
Closest atoms and distances in Å follow each position.
Positions (direct):
La 0.0000 0.0000 0.0000  6 La 3.59-3.60, 6 Tb 3.64-3.66
La 0.3327 0.6673 0.0000  6 La 3.59-3.61, 6 Tb 3.64-3.66
La 0.6673 0.3327 0.0000  6 La 3.59-3.61, 6 Tb 3.64-3.66
Tb 0.0905 0.4194 0.2576  1 Pu 3.49, 2 Dy 3.51, 6 Tb 3.55-3.62, 3 La 3.64-3.66
Tb 0.2515 0.2515 0.7428  1 Pu 3.50, 2 Dy 3.51, 6 Tb 3.55-3.62, 3 La 3.64-3.66
Tb 0.4194 0.0905 0.2576  1 Pu 3.49, 2 Dy 3.51, 6 Tb 3.55-3.62, 3 La 3.64-3.66
Tb 0.5806 0.9095 0.7424  1 Pu 3.49, 2 Dy 3.51, 6 Tb 3.55-3.62, 3 La 3.64-3.66
Tb 0.7485 0.7485 0.2572  1 Pu 3.50, 2 Dy 3.51, 6 Tb 3.55-3.62, 3 La 3.64-3.66
Tb 0.9095 0.5806 0.7424  1 Pu 3.49, 2 Dy 3.51, 6 Tb 3.55-3.62, 3 La 3.64-3.66
Dy 0.1665 0.8335 0.5000  6 Tb 3.51, 3 Pu 3.59-3.60, 3 Dy 3.59
Dy 0.8335 0.1665 0.5000  6 Tb 3.51, 3 Pu 3.59-3.60, 3 Dy 3.59
Pu 0.5000 0.5000 0.5000  6 Tb 3.49-3.50, 6 Dy 3.59-3.60

symmetry: No. 12
energy of formation from the pure elements: 0.0474 eV/atom
density: 8.24 g/cm3

No. 2
VASP calculation (GGA-PBE) on a relaxed La3Dy2PuTe6 crystal.

Unit cell a=10.0344 b=10.0344 c=9.0163 alpha=103.44 beta=103.44 gamma=25.62
Closest atoms and distances in Å follow each position.
Positions (direct):
La 0.0000 0.0000 0.0000  6 Te 3.22-3.26
La 0.3349 0.3349 0.6668  6 Te 3.21-3.26
La 0.6651 0.6651 0.3332  6 Te 3.21-3.26
Dy 0.3355 0.3355 0.1711  6 Te 3.06-3.12
Dy 0.6645 0.6645 0.8289  6 Te 3.06-3.12
Pu 0.0000 0.0000 0.5000  6 Te 3.12-3.14
Te 0.1651 0.1651 0.5928  2 Dy 3.08, 1 Pu 3.14, 3 La 3.23
Te 0.1714 0.1714 0.0732  3 Dy 3.11-3.12, 3 La 3.26
Te 0.4963 0.4963 0.2555  1 Dy 3.06, 2 Pu 3.12, 3 La 3.21-3.22
Te 0.5037 0.5037 0.7445  1 Dy 3.06, 2 Pu 3.12, 3 La 3.21-3.22
Te 0.8286 0.8286 0.9268  3 Dy 3.11-3.12, 3 La 3.26
Te 0.8349 0.8349 0.4072  2 Dy 3.08, 1 Pu 3.14, 3 La 3.23

symmetry: No. 12
density: 7.63 g/cm3
raw formation energy: -1.42 eV/atom

No. 3
VASP calculation (GGA-PBE) on a relaxed La4Dy3PuTe8 crystal.

Unit cell a=8.9828 b=8.9828 c=8.9828 alpha=59.58 beta=59.58 gamma=59.58
Closest atoms and distances in Å follow each position.
Positions (direct):
La 0.0000 0.0000 0.0000  6 Te 3.22
La 0.0000 0.5000 0.5000  6 Te 3.24
La 0.5000 0.0000 0.5000  6 Te 3.24
La 0.5000 0.5000 0.0000  6 Te 3.24
Dy 0.0000 0.0000 0.5000  6 Te 3.09-3.10
Dy 0.0000 0.5000 0.0000  6 Te 3.09-3.10
Dy 0.5000 0.0000 0.0000  6 Te 3.09-3.10
Pu 0.5000 0.5000 0.5000  6 Te 3.12
Te 0.2425 0.7463 0.7463  2 Dy 3.09, 1 Pu 3.12, 3 La 3.22-3.24
Te 0.2444 0.2444 0.2444  3 Dy 3.10, 3 La 3.24
Te 0.2537 0.2537 0.7575  2 Dy 3.09, 1 Pu 3.12, 3 La 3.22-3.24
Te 0.2537 0.7575 0.2537  2 Dy 3.09, 1 Pu 3.12, 3 La 3.22-3.24
Te 0.7463 0.2425 0.7463  2 Dy 3.09, 1 Pu 3.12, 3 La 3.22-3.24
Te 0.7463 0.7463 0.2425  2 Dy 3.09, 1 Pu 3.12, 3 La 3.22-3.24
Te 0.7556 0.7556 0.7556  3 Dy 3.10, 3 La 3.24
Te 0.7575 0.2537 0.2537  2 Dy 3.09, 1 Pu 3.12, 3 La 3.22-3.24

symmetry: No. 166
density: 7.55 g/cm3
raw formation energy: -1.42 eV/atom

No. 4
VASP calculation (GGA-PBE) on a relaxed LaDyPuTh crystal.

Unit cell a=5.6403 b=5.6403 c=5.6403 alpha=60.00 beta=60.00 gamma=60.00
Closest atoms and distances in Å follow each position.
Positions (direct):
La 0.0000 0.0000 0.0000  4 Pu 3.45, 4 Dy 3.45
Dy 0.2500 0.2500 0.2500  4 La 3.45, 4 Th 3.45
Pu 0.7500 0.7500 0.7500  4 La 3.45, 4 Th 3.45
Th 0.5000 0.5000 0.5000  4 Dy 3.45, 4 Pu 3.45

symmetry: No. 216
energy of formation from the pure elements: 0.2069 eV/atom
density: 10.17 g/cm3

No. 5
VASP calculation (GGA-PBE) on a relaxed LaDyPuTl crystal.

Unit cell a=5.5168 b=5.5168 c=5.5168 alpha=60.00 beta=60.00 gamma=60.00
Closest atoms and distances in Å follow each position.
Positions (direct):
La 0.0000 0.0000 0.0000  4 Tl 3.38, 4 Pu 3.38
Dy 0.5000 0.5000 0.5000  4 Tl 3.38, 4 Pu 3.38
Pu 0.7500 0.7500 0.7500  4 La 3.38, 4 Dy 3.38
Tl 0.2500 0.2500 0.2500  4 La 3.38, 4 Dy 3.38

symmetry: No. 216
energy of formation from the pure elements: 0.0156 eV/atom
density: 10.49 g/cm3

No. 6
VASP calculation (GGA-PBE) on a relaxed LaDyTmPu crystal.

Unit cell a=5.6271 b=5.6271 c=5.6271 alpha=60.00 beta=60.00 gamma=60.00
Closest atoms and distances in Å follow each position.
Positions (direct):
La 0.0000 0.0000 0.0000  4 Tm 3.45, 4 Pu 3.45
Dy 0.5000 0.5000 0.5000  4 Pu 3.45, 4 Tm 3.45
Tm 0.7500 0.7500 0.7500  4 Dy 3.45, 4 La 3.45
Pu 0.2500 0.2500 0.2500  4 Dy 3.45, 4 La 3.45

symmetry: No. 216
energy of formation from the pure elements: 0.1996 eV/atom
density: 9.42 g/cm3

No. 7
VASP calculation (GGA-PBE) on a relaxed La2Dy3Y6Pu crystal.

Unit cell a=6.2050 b=6.2050 c=11.8292 alpha=95.03 beta=95.03 gamma=120.06
Closest atoms and distances in Å follow each position.
Positions (direct):
La 0.1664 0.8336 0.0000  3 La 3.58, 3 Pu 3.58-3.59, 6 Y 3.60
La 0.8336 0.1664 0.0000  3 La 3.58, 3 Pu 3.58-3.59, 6 Y 3.60
Dy 0.0000 0.0000 0.5000  6 Y 3.54-3.56, 6 Dy 3.58
Dy 0.3334 0.6666 0.5000  6 Y 3.54-3.57, 6 Dy 3.58
Dy 0.6666 0.3334 0.5000  6 Y 3.54-3.57, 6 Dy 3.58
Y 0.0878 0.4165 0.7477  6 Y 3.53-3.61, 3 Dy 3.54-3.57, 1 Pu 3.57, 2 La 3.60
Y 0.2549 0.2549 0.2524  6 Y 3.53-3.61, 3 Dy 3.54-3.56, 1 Pu 3.58, 2 La 3.60
Y 0.4165 0.0878 0.7477  6 Y 3.53-3.61, 3 Dy 3.54-3.57, 1 Pu 3.57, 2 La 3.60
Y 0.5835 0.9122 0.2523  6 Y 3.53-3.61, 3 Dy 3.54-3.57, 1 Pu 3.57, 2 La 3.60
Y 0.7451 0.7451 0.7476  6 Y 3.53-3.61, 3 Dy 3.54-3.56, 1 Pu 3.58, 2 La 3.60
Y 0.9122 0.5835 0.2523  6 Y 3.53-3.61, 3 Dy 3.54-3.57, 1 Pu 3.57, 2 La 3.60
Pu 0.5000 0.5000 0.0000  6 Y 3.57-3.58, 6 La 3.58-3.59

symmetry: No. 12
energy of formation from the pure elements: 0.0507 eV/atom
density: 6.60 g/cm3

No. 8
VASP calculation (GGA-PBE) on a relaxed La3Dy2Y6Pu crystal.

Unit cell a=6.2368 b=6.2368 c=11.8380 alpha=95.04 beta=95.04 gamma=120.03
Closest atoms and distances in Å follow each position.
Positions (direct):
La 0.0000 0.0000 0.0000  6 La 3.59-3.60, 6 Y 3.64-3.66
La 0.3326 0.6674 0.0000  6 La 3.59-3.62, 6 Y 3.64-3.66
La 0.6674 0.3326 0.0000  6 La 3.59-3.62, 6 Y 3.64-3.66
Dy 0.1666 0.8334 0.5000  6 Y 3.52, 3 Dy 3.60, 3 Pu 3.60
Dy 0.8334 0.1666 0.5000  6 Y 3.52, 3 Dy 3.60, 3 Pu 3.60
Y 0.0898 0.4190 0.2572  1 Pu 3.50, 2 Dy 3.52, 6 Y 3.56-3.62, 3 La 3.64-3.66
Y 0.2517 0.2517 0.7431  1 Pu 3.50, 2 Dy 3.52, 6 Y 3.56-3.62, 3 La 3.64-3.66
Y 0.4190 0.0898 0.2572  1 Pu 3.50, 2 Dy 3.52, 6 Y 3.56-3.62, 3 La 3.64-3.66
Y 0.5810 0.9102 0.7428  1 Pu 3.50, 2 Dy 3.52, 6 Y 3.56-3.62, 3 La 3.64-3.66
Y 0.7483 0.7483 0.2569  1 Pu 3.50, 2 Dy 3.52, 6 Y 3.56-3.62, 3 La 3.64-3.66
Y 0.9102 0.5810 0.7428  1 Pu 3.50, 2 Dy 3.52, 6 Y 3.56-3.62, 3 La 3.64-3.66
Pu 0.5000 0.5000 0.5000  6 Y 3.50, 6 Dy 3.60

symmetry: No. 12
energy of formation from the pure elements: 0.0466 eV/atom
density: 6.43 g/cm3

No. 9
VASP calculation (GGA-PBE) on a relaxed La2Dy6Y3Pu crystal.

Unit cell a=6.1905 b=6.1905 c=11.8131 alpha=95.03 beta=95.03 gamma=120.07
Closest atoms and distances in Å follow each position.
Positions (direct):
La 0.1665 0.8335 0.0000  3 Pu 3.57-3.58, 3 La 3.57, 6 Dy 3.59
La 0.8335 0.1665 0.0000  3 Pu 3.57-3.58, 3 La 3.57, 6 Dy 3.59
Dy 0.0882 0.4165 0.7487  6 Dy 3.52-3.60, 3 Y 3.54-3.57, 1 Pu 3.56, 2 La 3.59
Dy 0.2553 0.2553 0.2514  6 Dy 3.52-3.60, 3 Y 3.54-3.57, 1 Pu 3.56, 2 La 3.59
Dy 0.4165 0.0882 0.7487  6 Dy 3.52-3.60, 3 Y 3.54-3.57, 1 Pu 3.56, 2 La 3.59
Dy 0.5835 0.9118 0.2513  6 Dy 3.52-3.60, 3 Y 3.54-3.57, 1 Pu 3.56, 2 La 3.59
Dy 0.7447 0.7447 0.7486  6 Dy 3.52-3.60, 3 Y 3.54-3.57, 1 Pu 3.56, 2 La 3.59
Dy 0.9118 0.5835 0.2513  6 Dy 3.52-3.60, 3 Y 3.54-3.57, 1 Pu 3.56, 2 La 3.59
Y 0.0000 0.0000 0.5000  6 Dy 3.54-3.57, 6 Y 3.57-3.58
Y 0.3335 0.6665 0.5000  6 Dy 3.54-3.57, 6 Y 3.57-3.58
Y 0.6665 0.3335 0.5000  6 Dy 3.54-3.57, 6 Y 3.57-3.58
Pu 0.5000 0.5000 0.0000  6 Dy 3.56, 6 La 3.57-3.58

symmetry: No. 12
energy of formation from the pure elements: 0.0506 eV/atom
density: 7.59 g/cm3

No. 10
VASP calculation (GGA-PBE) on a relaxed La3Dy6Y2Pu crystal.

Unit cell a=6.2182 b=6.2182 c=11.8172 alpha=95.04 beta=95.04 gamma=120.04
Closest atoms and distances in Å follow each position.
Positions (direct):
La 0.0000 0.0000 0.0000  6 La 3.58-3.59, 6 Dy 3.63-3.65
La 0.3326 0.6674 0.0000  6 La 3.58-3.61, 6 Dy 3.63-3.65
La 0.6674 0.3326 0.0000  6 La 3.58-3.61, 6 Dy 3.63-3.65
Dy 0.0906 0.4191 0.2567  1 Pu 3.49, 2 Y 3.52, 6 Dy 3.54-3.62, 3 La 3.63-3.65
Dy 0.2523 0.2523 0.7438  1 Pu 3.50, 2 Y 3.52, 6 Dy 3.54-3.62, 3 La 3.63-3.65
Dy 0.4191 0.0906 0.2567  1 Pu 3.49, 2 Y 3.52, 6 Dy 3.54-3.62, 3 La 3.63-3.65
Dy 0.5809 0.9094 0.7433  1 Pu 3.49, 2 Y 3.52, 6 Dy 3.54-3.62, 3 La 3.63-3.65
Dy 0.7477 0.7477 0.2562  1 Pu 3.50, 2 Y 3.52, 6 Dy 3.54-3.62, 3 La 3.63-3.65
Dy 0.9094 0.5809 0.7433  1 Pu 3.49, 2 Y 3.52, 6 Dy 3.54-3.62, 3 La 3.63-3.65
Y 0.1666 0.8334 0.5000  6 Dy 3.52, 3 Pu 3.59, 3 Y 3.59
Y 0.8334 0.1666 0.5000  6 Dy 3.52, 3 Pu 3.59, 3 Y 3.59
Pu 0.5000 0.5000 0.5000  6 Dy 3.49-3.50, 6 Y 3.59

symmetry: No. 12
energy of formation from the pure elements: 0.0497 eV/atom
density: 7.73 g/cm3

No. 11
VASP calculation (GGA-PBE) on a relaxed LaDyYPu crystal.

Unit cell a=5.6672 b=5.6672 c=5.6672 alpha=60.00 beta=60.00 gamma=60.00
Closest atoms and distances in Å follow each position.
Positions (direct):
La 0.0000 0.0000 0.0000  4 Y 3.47, 4 Pu 3.47
Dy 0.5000 0.5000 0.5000  4 Y 3.47, 4 Pu 3.47
Y 0.7500 0.7500 0.7500  4 Dy 3.47, 4 La 3.47
Pu 0.2500 0.2500 0.2500  4 La 3.47, 4 Dy 3.47

symmetry: No. 216
energy of formation from the pure elements: 0.2063 eV/atom
density: 8.18 g/cm3